VASP calculation (PBE) on a geometry-optimized U3Ta2VC6 structure.

Values from the calculation:
- Space-group type: C2/m, No. 12
- Total moment: 0.97 μB per cell
- E: -10.570 eV per atom

Unit cell a=5.571 b=5.571 c=5.877 alpha=99.11 beta=99.11 gamma=119.97
Fractional positions:
U 0.000 0.000 0.000
U 0.334 0.666 0.000
U 0.666 0.334 0.000
Ta 0.167 0.833 0.500
Ta 0.833 0.167 0.500
V 0.500 0.500 0.500
C 0.098 0.426 0.279
C 0.246 0.246 0.721
C 0.426 0.098 0.279
C 0.574 0.902 0.721
C 0.754 0.754 0.279
C 0.902 0.574 0.721